Entry from the Alexandria database: crystalline AsRu2Au at its relaxed geometry (PBE).

The structure belongs to space group Imm2 (No. 44); the cell edges are 3.054, 4.045 and 10.406 Å and the angles 90.00°, 90.00° and 90.00°. Symmetry generates all atoms from As at (0.000, 0.000, 0.000), Ru at (0.000, 0.000, 0.547), Ru at (0.000, 0.500, 0.321) and Au at (0.000, 0.500, 0.734).

For the spin magnetization, the calculation gives 0.0 μB per cell. The density of states at the Fermi level is 8.1 states/eV per cell. The value obtained for the formation energy is 1.3 eV/f.u.